[1]
# Y4TcRu PBE optimized geometry
data_Y4TcRu
_cell_length_a 8.3226
_cell_length_b 8.3226
_cell_length_c 8.3226
_cell_angle_alpha 90.00
_cell_angle_beta 90.00
_cell_angle_gamma 90.00
_space_group_name_H-M_alt 'F -4 3 m'
_space_group_IT_number 216
_space_group_name_Hall 'F -4 2 3'
loop_
_atom_site_label
_atom_site_type_symbol
_atom_site_fract_x
_atom_site_fract_y
_atom_site_fract_z
Y1 Y 0.1250 0.1250 0.1250
Tc1 Tc 0.0000 0.0000 0.5000
Ru1 Ru 0.2500 0.2500 0.7500
# DOS at the Fermi energy = 38.0 states/eV/cell
# Total moment = 3.06 Bohr magnetons per cell
# Formation enthalpy at 0 K = 1.074 eV per atom



[2]
# MnCo PBE optimized geometry
data_MnCo
_cell_length_a 2.7886
_cell_length_b 2.7886
_cell_length_c 5.8226
_cell_angle_alpha 90.00
_cell_angle_beta 90.00
_cell_angle_gamma 90.00
_space_group_name_H-M_alt 'P 4/n m m'
_space_group_IT_number 129
loop_
_space_group_symop_operation_xyz
'x,y,z'
'-x,-y,-z'
'-y+1/2,x,z'
'y+1/2,-x,-z'
'-x+1/2,-y+1/2,z'
'x+1/2,y+1/2,-z'
'y,-x+1/2,z'
'-y,x+1/2,-z'
'x+1/2,-y,-z'
'-x+1/2,y,z'
'-y,-x,-z'
'y,x,z'
'-x,y+1/2,-z'
'x,-y+1/2,z'
'y+1/2,x+1/2,-z'
'-y+1/2,-x+1/2,z'
loop_
_atom_site_label
_atom_site_type_symbol
_atom_site_fract_x
_atom_site_fract_y
_atom_site_fract_z
Mn1 Mn 0.2500 0.2500 0.1259
Co1 Co 0.2500 0.2500 0.6270
# DOS at the Fermi energy = 5.0 states/eV/cell
# Total moment = 7.01 Bohr magnetons per cell
# Formation enthalpy at 0 K = 0.122 eV per atom



[3]
# BaGa2Cu2 PBE optimized geometry
data_BaGa2Cu2
_cell_length_a 8.0924
_cell_length_b 8.0924
_cell_length_c 3.1467
_cell_angle_alpha 90.00
_cell_angle_beta 90.00
_cell_angle_gamma 90.00
_space_group_name_H-M_alt 'P 4/m b m'
_space_group_IT_number 127
_space_group_name_Hall '-P 4 2ab'
loop_
_atom_site_label
_atom_site_type_symbol
_atom_site_fract_x
_atom_site_fract_y
_atom_site_fract_z
Ba1 Ba 0.0000 0.0000 0.0000
Ga1 Ga 0.1480 0.3520 0.5000
Cu1 Cu 0.1147 0.6147 0.0000
# DOS at the Fermi energy = 6.4 states/eV/cell
# Total moment = 0.00 Bohr magnetons per cell
# Formation enthalpy at 0 K = 0.073 eV per atom



[4]
# Pm2Y2Ga4Sn PBE optimized geometry
data_Pm2Y2Ga4Sn
_cell_length_a 7.1541
_cell_length_b 7.1541
_cell_length_c 9.3793
_cell_angle_alpha 90.00
_cell_angle_beta 90.00
_cell_angle_gamma 90.00
_space_group_name_H-M_alt 'I 4/m m m'
_space_group_IT_number 139
_space_group_name_Hall '-I 4 2'
loop_
_atom_site_label
_atom_site_type_symbol
_atom_site_fract_x
_atom_site_fract_y
_atom_site_fract_z
Pm1 Pm 0.0000 0.0000 0.1906
Y1 Y 0.0000 0.5000 0.2500
Ga1 Ga 0.2382 0.2382 0.0000
Sn1 Sn 0.0000 0.0000 0.5000
# DOS at the Fermi energy = 12.1 states/eV/cell
# Total moment = 0.00 Bohr magnetons per cell
# Formation enthalpy at 0 K = -0.177 eV per atom



Let's list electronic total energy in order: -6.51 -8.02 -3.16 -4.46 eV/atom.